Entry 1:
A geometry-optimized Al8W7 structure, computed with GGA-PBE.

Computed properties:
**Raw total energy**: -7.93 eV/atom

a = 9.7249 Å, b = 9.7249 Å, c = 5.1149 Å
α = 90.00°, β = 90.00°, γ = 90.00°
Closest atoms and distances in Å follow each position.
Fractional coordinates of all 30 atoms:
Al  0.4599  0.1283  0.0000  1 Al 2.61, 5 W 2.76-2.80
Al  0.1283  0.4599  0.0000  1 Al 2.61, 5 W 2.76-2.80
Al  0.8717  0.5401  0.0000  1 Al 2.61, 5 W 2.76-2.80
Al  0.5401  0.8717  0.0000  1 Al 2.61, 5 W 2.76-2.80
Al  0.6719  0.3281  0.2465  2 Al 2.52-2.59, 1 W 2.70
Al  0.3281  0.6719  0.2465  2 Al 2.52-2.59, 1 W 2.70
Al  0.1719  0.1719  0.2535  2 Al 2.52-2.59, 1 W 2.70
Al  0.8281  0.8281  0.2535  2 Al 2.52-2.59, 1 W 2.70
Al  0.6283  0.0401  0.5000  1 Al 2.61, 5 W 2.76-2.80
Al  0.9599  0.3717  0.5000  1 Al 2.61, 5 W 2.76-2.80
Al  0.0401  0.6283  0.5000  1 Al 2.61, 5 W 2.76-2.80
Al  0.3717  0.9599  0.5000  1 Al 2.61, 5 W 2.76-2.80
Al  0.1719  0.1719  0.7465  2 Al 2.52-2.59, 1 W 2.70
Al  0.8281  0.8281  0.7465  2 Al 2.52-2.59, 1 W 2.70
Al  0.6719  0.3281  0.7535  2 Al 2.52-2.59, 1 W 2.70
Al  0.3281  0.6719  0.7535  2 Al 2.52-2.59, 1 W 2.70
W  0.0000  0.0000  0.0000  8 W 2.64-2.86, 4 Al 2.70
W  0.7397  0.0770  0.0000  2 W 2.52-2.64, 4 Al 2.77-2.80
W  0.9230  0.2603  0.0000  2 W 2.52-2.64, 4 Al 2.77-2.80
W  0.4068  0.4068  0.0000  3 W 2.56-2.86, 2 Al 2.76
W  0.5932  0.5932  0.0000  3 W 2.56-2.86, 2 Al 2.76
W  0.0770  0.7397  0.0000  2 W 2.52-2.64, 4 Al 2.77-2.80
W  0.2603  0.9230  0.0000  2 W 2.52-2.64, 4 Al 2.77-2.80
W  0.9068  0.0932  0.5000  3 W 2.56-2.86, 2 Al 2.76
W  0.4230  0.2397  0.5000  2 W 2.52-2.64, 4 Al 2.77-2.80
W  0.2397  0.4230  0.5000  2 W 2.52-2.64, 4 Al 2.77-2.80
W  0.5000  0.5000  0.5000  8 W 2.64-2.86, 4 Al 2.70
W  0.7603  0.5770  0.5000  2 W 2.52-2.64, 4 Al 2.77-2.80
W  0.5770  0.7603  0.5000  2 W 2.52-2.64, 4 Al 2.77-2.80
W  0.0932  0.9068  0.5000  3 W 2.56-2.86, 2 Al 2.76



Entry 2:
A geometry-optimized AlW2 structure, computed with GGA-PBE.

Computed properties:
**Raw total energy**: -9.79 eV/atom

a = 9.6817 Å, b = 9.6817 Å, c = 5.0966 Å
α = 90.00°, β = 90.00°, γ = 90.00°
Closest atoms and distances in Å follow each position.
Fractional coordinates of all 30 atoms:
Al  0.0000  0.0000  0.0000  8 W 2.60-2.89, 4 Al 2.81
Al  0.1827  0.1827  0.2496  3 Al 2.54-2.81, 4 W 2.81-2.82
Al  0.8173  0.8173  0.2496  3 Al 2.54-2.81, 4 W 2.81-2.82
Al  0.6827  0.3173  0.2504  3 Al 2.54-2.81, 4 W 2.81-2.82
Al  0.3173  0.6827  0.2504  3 Al 2.54-2.81, 4 W 2.81-2.82
Al  0.5000  0.5000  0.5000  8 W 2.60-2.89, 4 Al 2.81
Al  0.6827  0.3173  0.7496  3 Al 2.54-2.81, 4 W 2.81-2.82
Al  0.3173  0.6827  0.7496  3 Al 2.54-2.81, 4 W 2.81-2.82
Al  0.1827  0.1827  0.7504  3 Al 2.54-2.81, 4 W 2.81-2.82
Al  0.8173  0.8173  0.7504  3 Al 2.54-2.81, 4 W 2.81-2.82
W  0.7399  0.0650  0.0000  5 Al 2.60-2.82, 5 W 2.67-2.78
W  0.4674  0.1332  0.0000  6 W 2.66-2.78
W  0.9350  0.2601  0.0000  5 Al 2.60-2.82, 5 W 2.67-2.78
W  0.4009  0.4009  0.0000  3 W 2.67-2.71, 2 Al 2.89
W  0.1332  0.4674  0.0000  6 W 2.66-2.78
W  0.8668  0.5326  0.0000  6 W 2.66-2.78
W  0.5991  0.5991  0.0000  3 W 2.67-2.71, 2 Al 2.89
W  0.0650  0.7399  0.0000  5 Al 2.60-2.82, 5 W 2.67-2.78
W  0.5326  0.8668  0.0000  6 W 2.66-2.78
W  0.2601  0.9350  0.0000  5 Al 2.60-2.82, 5 W 2.67-2.78
W  0.6332  0.0326  0.5000  6 W 2.66-2.78
W  0.9009  0.0991  0.5000  3 W 2.67-2.71, 2 Al 2.89
W  0.4350  0.2399  0.5000  5 Al 2.60-2.82, 5 W 2.67-2.78
W  0.9674  0.3668  0.5000  6 W 2.66-2.78
W  0.2399  0.4350  0.5000  5 Al 2.60-2.82, 5 W 2.67-2.78
W  0.7601  0.5650  0.5000  5 Al 2.60-2.82, 5 W 2.67-2.78
W  0.0326  0.6332  0.5000  6 W 2.66-2.78
W  0.5650  0.7601  0.5000  5 Al 2.60-2.82, 5 W 2.67-2.78
W  0.0991  0.9009  0.5000  3 W 2.67-2.71, 2 Al 2.89
W  0.3668  0.9674  0.5000  6 W 2.66-2.78



Entry 3:
A geometry-optimized Al2W structure, computed with GGA-PBE.

Computed properties:
**Raw total energy**: -6.68 eV/atom

a = 5.0230 Å, b = 5.0230 Å, c = 16.2621 Å
α = 90.00°, β = 90.00°, γ = 120.00°
Closest atoms and distances in Å follow each position.
Fractional coordinates of all 24 atoms:
Al  0.5000  0.0000  0.0000  6 Al 2.50-2.51
Al  0.0000  0.5000  0.0000  6 Al 2.50-2.51
Al  0.5000  0.5000  0.0000  6 Al 2.50-2.51
Al  0.3333  0.6667  0.1254  6 Al 2.50-2.52
Al  0.1618  0.3237  0.2500  6 Al 2.44-2.58
Al  0.1618  0.8382  0.2500  6 Al 2.44-2.58
Al  0.6763  0.8382  0.2500  6 Al 2.44-2.58
Al  0.3333  0.6667  0.3746  6 Al 2.50-2.52
Al  0.5000  0.0000  0.5000  6 Al 2.50-2.51
Al  0.0000  0.5000  0.5000  6 Al 2.50-2.51
Al  0.5000  0.5000  0.5000  6 Al 2.50-2.51
Al  0.6667  0.3333  0.6254  6 Al 2.50-2.52
Al  0.3237  0.1618  0.7500  6 Al 2.44-2.58
Al  0.8382  0.1618  0.7500  6 Al 2.44-2.58
Al  0.8382  0.6763  0.7500  6 Al 2.44-2.58
Al  0.6667  0.3333  0.8746  6 Al 2.50-2.52
W  0.0000  0.0000  0.1000  12 Al 2.82-2.99, 3 W 3.05
W  0.6667  0.3333  0.1581  12 Al 2.92-2.95, 4 W 2.99-3.05
W  0.6667  0.3333  0.3419  12 Al 2.92-2.95, 4 W 2.99-3.05
W  0.0000  0.0000  0.4000  12 Al 2.82-2.99, 3 W 3.05
W  0.0000  0.0000  0.6000  12 Al 2.82-2.99, 3 W 3.05
W  0.3333  0.6667  0.6581  12 Al 2.92-2.95, 4 W 2.99-3.05
W  0.3333  0.6667  0.8419  12 Al 2.92-2.95, 4 W 2.99-3.05
W  0.0000  0.0000  0.9000  12 Al 2.82-2.99, 3 W 3.05



Entry 4:
A geometry-optimized AlW structure, computed with GGA-PBE.

Computed properties:
**Raw total energy**: -8.28 eV/atom

a = 5.1005 Å, b = 5.1005 Å, c = 8.2246 Å
α = 90.00°, β = 90.00°, γ = 120.51°
Closest atoms and distances in Å follow each position.
Fractional coordinates of all 12 atoms:
Al  0.0000  0.0000  0.0000  4 Al 2.54, 2 W 2.55
Al  0.1751  0.3386  0.2500  4 Al 2.46-2.60, 2 W 2.51-2.59
Al  0.6614  0.8249  0.2500  4 Al 2.46-2.60, 2 W 2.51-2.59
Al  0.0000  0.0000  0.5000  4 Al 2.54, 2 W 2.55
Al  0.3386  0.1751  0.7500  4 Al 2.46-2.60, 2 W 2.51-2.59
Al  0.8249  0.6614  0.7500  4 Al 2.46-2.60, 2 W 2.51-2.59
W  0.6481  0.3519  0.0529  4 W 2.76-3.01, 6 Al 2.84-2.88
W  0.1712  0.8288  0.2500  6 Al 2.51-2.59
W  0.6481  0.3519  0.4471  4 W 2.76-3.01, 6 Al 2.84-2.88
W  0.3519  0.6481  0.5529  4 W 2.76-3.01, 6 Al 2.84-2.88
W  0.8288  0.1712  0.7500  6 Al 2.51-2.59
W  0.3519  0.6481  0.9471  4 W 2.76-3.01, 6 Al 2.84-2.88